Density functional theory data (PBE) for a relaxed Sm12Y6In crystal.

- D(E_F) (states/eV per cell) = 91.84
- DFT total energy (eV/atom) = -5.096

Cell lengths 12.0306, 12.0306, 15.1599 Å; angles 90.00, 90.00, 120.00 degrees
Space group R-3 (No. 148, hexagonal axes)
Inequivalent atoms, fractional coordinates:
Sm 0.0024 0.1738 0.3128 (multiplicity 18)
Sm 0.0460 0.8479 0.9160 (multiplicity 18)
Y 0.0211 0.4310 0.1881 (multiplicity 18)
In 0.0000 0.0000 0.5000 (multiplicity 3)